Record 1
An optimized crystal structure of TiTc2Pd, computed with PBE.

Properties
For the volume, the calculation gives 241.8 Å³ per cell. Its formation enthalpy at 0 K is 74 meV per atom. The total DFT energy (no corrections) is -8.3807 eV per atom. The density of states at the Fermi level is 10.8 states/eV per cell. As for the excess energy over the best structure of this formula in the dataset: 0 meV per atom. The magnetic moment comes out at 0.00 μB/atom.

a = 6.2296 Å, b = 6.2296 Å, c = 6.2296 Å
α = 90.00°, β = 90.00°, γ = 90.00°
Space group Fm-3m (No. 225)
Unique sites:
Ti  0.0000  0.0000  0.0000 (multiplicity 4)
Tc  0.2500  0.2500  0.2500 (multiplicity 8)
Pd  0.0000  0.0000  0.5000 (multiplicity 4)

Record 2
An optimized crystal structure of Zr3TiGa, computed with PBE.

Properties
For the volume, the calculation gives 118.7 Å³ per cell. Its formation enthalpy at 0 K is 733 meV per atom. The total DFT energy (no corrections) is -6.5807 eV per atom. The density of states at the Fermi level is 8.0 states/eV per cell. As for the excess energy over the best structure of this formula in the dataset: 793 meV per atom. The magnetic moment comes out at 0.00 μB/atom.

a = 4.9146 Å, b = 4.9146 Å, c = 4.9146 Å
α = 90.00°, β = 90.00°, γ = 90.00°
Space group Pm-3m (No. 221)
Unique sites:
Zr  0.0000  0.0000  0.5000 (multiplicity 3)
Ti  0.0000  0.0000  0.0000 (multiplicity 1)
Ga  0.5000  0.5000  0.5000 (multiplicity 1)

Repeat the first record exactly.
An optimized crystal structure of TiTc2Pd, computed with PBE.

Properties
For the volume, the calculation gives 241.8 Å³ per cell. Its formation enthalpy at 0 K is 74 meV per atom. The total DFT energy (no corrections) is -8.3807 eV per atom. The density of states at the Fermi level is 10.8 states/eV per cell. As for the excess energy over the best structure of this formula in the dataset: 0 meV per atom. The magnetic moment comes out at 0.00 μB/atom.

a = 6.2296 Å, b = 6.2296 Å, c = 6.2296 Å
α = 90.00°, β = 90.00°, γ = 90.00°
Space group Fm-3m (No. 225)
Unique sites:
Ti  0.0000  0.0000  0.0000 (multiplicity 4)
Tc  0.2500  0.2500  0.2500 (multiplicity 8)
Pd  0.0000  0.0000  0.5000 (multiplicity 4)

> formation enthalpy at 0 K of number 1 (TiTc2Pd)?

74 meV per atom

> Among the records above, which one has the highest total DFT energy (no corrections)?

Zr3TiGa

> Among the records above, which one has the lowest excess energy over the best structure of this formula in the dataset?

TiTc2Pd